(1)
PBE SrYPd2, relaxed; N(E_F) = 0.574 states/eV per atom; spin magnetization = 0.0 Bohr magnetons per cell; offset from the most stable computed form = 0.39 eV per formula unit; ΔE_f = -654 meV/atom
1.0
0.0000 3.6066 3.6066
3.6066 0.0000 3.6066
3.6066 3.6066 0.0000
Y Sr Pd
1 1 2
Direct
0.5000 0.5000 0.5000
0.0000 0.0000 0.0000
0.2500 0.2500 0.2500
0.7500 0.7500 0.7500



(2)
PBE Pr2PdBr, relaxed; N(E_F) = 0.745 states/eV per atom; spin magnetization = 0.0 Bohr magnetons per cell; offset from the most stable computed form = 0.06 eV per formula unit; raw formation energy = -3.89 eV per formula unit
1.0
4.1646 0.0000 0.0000
2.0823 3.6066 0.0001
0.0000 -0.0002 7.9281
Pr Pd Br
2 1 1
Direct
0.6667 0.6667 0.2082
0.3333 0.3333 0.7918
0.0000 0.0000 0.0000
0.0000 0.0000 0.5000



(3)
PBE ScBe2Fe2, relaxed; N(E_F) = 0.642 states/eV per atom; spin magnetization = 6.5 Bohr magnetons per cell; offset from the most stable computed form = 0.32 eV per formula unit; ΔE_f = -26 meV/atom
1.0
6.8250 0.0000 0.0000
0.0000 6.8250 0.0000
0.0000 0.0000 2.5027
Sc Be Fe
2 4 4
Direct
0.0000 0.0000 0.0000
0.5000 0.5000 0.0000
0.1695 0.6695 0.5000
0.6695 0.8305 0.5000
0.8305 0.3305 0.5000
0.3305 0.1695 0.5000
0.3775 0.8775 0.0000
0.8775 0.6225 0.0000
0.6225 0.1225 0.0000
0.1225 0.3775 0.0000



(4)
PBE Zr5Cu4, relaxed; N(E_F) = 1.291 states/eV per atom; spin magnetization = 0.0 Bohr magnetons per cell; offset from the most stable computed form = 0.00 eV per formula unit; ΔE_f = -23 meV/atom
1.0
8.5243 0.0000 0.0000
4.2622 7.3823 0.0000
0.0000 0.0000 5.2748
Cu Zr
8 10
Direct
0.0000 0.0000 0.0000
0.0000 0.0000 0.5000
0.6059 0.3941 0.2500
0.0000 0.6059 0.2500
0.3941 0.0000 0.2500
0.3941 0.6059 0.7500
0.0000 0.3941 0.7500
0.6059 0.0000 0.7500
0.2798 0.7202 0.2500
0.0000 0.2798 0.2500
0.7202 0.0000 0.2500
0.7202 0.2798 0.7500
0.0000 0.7202 0.7500
0.2798 0.0000 0.7500
0.3333 0.3333 0.0000
0.6667 0.6667 0.5000
0.6667 0.6667 0.0000
0.3333 0.3333 0.5000



(5)
PBE Mo2RuCl, relaxed; N(E_F) = 1.221 states/eV per atom; spin magnetization = 0.0 Bohr magnetons per cell; offset from the most stable computed form = 0.15 eV per formula unit; raw formation energy = 1.02 eV per formula unit
1.0
8.7081 -0.0053 -0.0031
8.2372 2.8248 -0.0031
8.2372 1.3706 2.4700
Cl Mo Ru
1 2 1
Direct
0.7500 0.7500 0.7500
0.0005 0.0005 0.0005
0.4995 0.4995 0.4995
0.2500 0.2500 0.2500



(6)
PBE KSr2BiTe4, relaxed; spin magnetization = 0.0 Bohr magnetons per cell; raw formation energy = -8.74 eV per formula unit
1.0
9.4422 0.0473 -0.0417
0.0407 9.4422 -0.0417
-4.7229 -4.7262 6.7493
K Sr Bi Te
2 4 2 8
Direct
0.0000 0.5000 0.0000
0.0000 0.5000 0.5000
0.5000 0.0000 0.0000
0.5000 0.0000 0.5000
0.0000 0.0000 0.5000
0.5000 0.5000 0.0000
0.5000 0.5000 0.5000
0.0000 0.0000 0.0000
0.2524 0.7663 0.0093
0.7337 0.2476 0.4907
0.2663 0.7524 0.5093
0.7476 0.2337 0.9907
0.7472 0.7529 0.9848
0.7471 0.7528 0.5152
0.2529 0.2472 0.4848
0.2528 0.2471 0.0152



(7)
PBE LiAc3Ge2, relaxed; N(E_F) = 1.046 states/eV per atom; spin magnetization = 0.0 Bohr magnetons per cell; offset from the most stable computed form = 0.99 eV per formula unit; ΔE_f = -391 meV/atom
1.0
-0.5823 3.3667 -6.3864
5.5333 -5.0385 -3.1607
-7.7626 -3.7547 2.8356
Li Ac Ge
2 6 4
Direct
0.0000 0.5000 0.0000
0.0000 0.0000 0.0000
0.5000 0.2500 0.0000
0.5000 0.7500 0.0000
0.7784 0.0284 0.5569
0.2216 0.4716 0.4431
0.2216 0.9716 0.4431
0.7784 0.5284 0.5569
0.5926 0.3710 0.7420
0.8507 0.1290 0.2580
0.1493 0.8710 0.7420
0.4074 0.6290 0.2580



(8)
PBE FeRe2Si, relaxed; N(E_F) = 1.108 states/eV per atom; spin magnetization = 0.0 Bohr magnetons per cell; raw formation energy = 4.94 eV per formula unit
1.0
-5.3259 1.2272 0.7740
-1.2238 -2.2184 -4.9042
-3.9841 -4.9581 0.1304
Re Si Fe
4 2 2
Direct
0.6472 0.1250 0.2500
0.1028 0.6250 0.2500
0.3750 0.3528 0.7500
0.8750 0.8972 0.7500
0.5000 0.5000 0.0000
0.2500 0.7500 0.5000
0.0000 0.0000 0.0000
0.7500 0.2500 0.5000



(9)
PBE CuIrS2, relaxed; N(E_F) = 0.888 states/eV per atom; spin magnetization = 0.0 Bohr magnetons per cell; raw formation energy = 0.92 eV per formula unit
1.0
1.8107 0.0000 7.4209
-0.9053 1.5681 7.4209
-0.9053 -1.5681 7.4209
S Ir Cu
2 1 1
Direct
0.8997 0.8997 0.8997
0.1003 0.1003 0.1003
0.0000 0.0000 0.0000
0.5000 0.5000 0.5000



(10)
PBE CeTmTlSn, relaxed; N(E_F) = 2.086 states/eV per atom; spin magnetization = 1.0 Bohr magnetons per cell; offset from the most stable computed form = 0.04 eV per formula unit; ΔE_f = -403 meV/atom
1.0
-2.7767 -2.5917 -3.8227
2.6057 -2.8498 -3.7589
-0.2585 -5.3826 0.0387
Tl Tm Sn Ce
1 1 1 1
Direct
0.7500 0.7500 0.7500
0.5000 0.5000 0.5000
0.2500 0.2500 0.2500
0.0000 0.0000 0.0000



(11)
PBE YEr2Hg4, relaxed; N(E_F) = 0.369 states/eV per atom; spin magnetization = 0.0 Bohr magnetons per cell; offset from the most stable computed form = 0.00 eV per formula unit; ΔE_f = -405 meV/atom
1.0
-1.6815 5.9584 1.2432
-5.1257 -3.3180 -1.6105
2.6686 -2.5261 5.1355
Y Er Hg
1 2 4
Direct
0.0000 0.0000 0.0000
0.5000 0.5000 0.0000
0.5000 0.0000 0.5000
0.5000 0.0000 0.0000
0.5000 0.5000 0.5000
0.0000 0.0000 0.5000
0.0000 0.5000 0.0000



(12)
PBE Pr2SnAs3Pd4, relaxed; N(E_F) = 0.529 states/eV per atom; spin magnetization = 0.0 Bohr magnetons per cell; ΔE_f = -854 meV/atom
1.0
4.2908 0.0000 0.0000
0.0000 4.2908 0.0000
0.0000 0.0000 11.0841
Pr Sn As Pd
2 1 3 4
Direct
0.5000 0.0000 0.2294
0.0000 0.5000 0.7706
0.5000 0.5000 0.5000
0.0000 0.0000 0.5000
0.5000 0.0000 0.8691
0.0000 0.5000 0.1309
0.5000 0.5000 0.0000
0.0000 0.0000 0.0000
0.5000 0.0000 0.6470
0.0000 0.5000 0.3530